## LaMgSc2In4 (PBE)

Data for LaMgSc2In4 after structural relaxation.

Cell lengths 5.1282, 5.1282, 9.3312 Å; angles 74.05, 74.05, 60.00 degrees
Positions (direct):
La  0.0000  0.0000  0.0000
In  0.1280  0.1280  0.6161
In  0.3830  0.3830  0.8511
In  0.6170  0.6170  0.1489
In  0.8720  0.8720  0.3839
Sc  0.2448  0.2448  0.2655
Sc  0.7552  0.7552  0.7345
Mg  0.5000  0.5000  0.5000

## Properties
The calculation puts the formation energy at -7.54 kcal/mol of atoms. Its electronic total energy is -32.75 eV per formula unit.


## LaSmMgIn (PBE)

Data for LaSmMgIn after structural relaxation.

Cell lengths 5.5047, 5.5047, 5.5047 Å; angles 60.00, 60.00, 60.00 degrees
Positions (direct):
In  0.5000  0.5000  0.5000
La  0.7500  0.7500  0.7500
Mg  0.0000  0.0000  0.0000
Sm  0.2500  0.2500  0.2500

## Properties
The calculation puts the formation energy at -7.67 kcal/mol of atoms. Its electronic total energy is -15.31 eV per formula unit.


> Among the records above, which one has the highest formation energy?

LaMgSc2In4


> Look up the electronic total energy of the second one.

-15.31 eV per formula unit